No. 1
First-principles (PBE) data for crystalline YMgCl3 at its relaxed geometry, as listed in the Alexandria database.

- crystal system = cubic
- formation energy (no corrections) (kcal/mol of atoms) = -23.96
- N(E_F) (states/eV/cell) = 3.88
- magnetic moment (μB/cell) = 1.8
- distance to the lowest polymorph of the same formula (eV/atom) = 0.395

a = 4.960 Å, b = 4.960 Å, c = 4.960 Å
α = 90.00°, β = 90.00°, γ = 90.00°
Last column: magnetic moment on the atom in μB.
Sites, in units of the cell vectors:
Y 0.500 0.500 0.500  0.89
Mg 0.000 0.000 0.000  0.00
Cl 0.000 0.500 0.000  0.02
Cl 0.000 0.000 0.500  0.02
Cl 0.500 0.000 0.000  0.01

No. 2
First-principles (PBE) data for crystalline Sc2TlFe at its relaxed geometry, as listed in the Alexandria database.

- crystal system = tetragonal
- N(E_F) (states/eV/cell) = 3.34
- magnetic moment (μB/cell) = 1.6

a = 3.568 Å, b = 3.572 Å, c = 6.462 Å
α = 90.00°, β = 90.00°, γ = 90.00°
Last column: magnetic moment on the atom in μB.
Sites, in units of the cell vectors:
Fe 0.500 0.500 0.789  2.31
Sc 0.000 0.000 0.956  -0.36
Sc 0.500 0.500 0.245  -0.05
Tl 0.000 0.000 0.511  -0.04

No. 3
First-principles (PBE) data for crystalline RbGaAs at its relaxed geometry, as listed in the Alexandria database.

- crystal system = orthorhombic
- magnetic moment (μB/cell) = 0.0
- distance to the lowest polymorph of the same formula (eV/atom) = 0.052

a = 4.046 Å, b = 10.176 Å, c = 10.019 Å
α = 90.00°, β = 90.00°, γ = 90.00°
Sites, in units of the cell vectors:
Rb 0.000 0.792 0.656
Rb 0.000 0.208 0.656
Rb 0.500 0.292 0.156
Rb 0.500 0.708 0.156
Ga 0.000 0.500 0.409
Ga 0.500 0.000 0.909
Ga 0.000 0.000 0.304
Ga 0.500 0.500 0.804
As 0.000 0.000 0.061
As 0.500 0.500 0.561
As 0.000 0.500 0.939
As 0.500 0.000 0.439

No. 4
First-principles (PBE) data for crystalline FeAg2Os at its relaxed geometry, as listed in the Alexandria database.

- crystal system = tetragonal
- N(E_F) (states/eV/cell) = 3.51
- magnetic moment (μB/cell) = 3.8
- distance to the lowest polymorph of the same formula (eV/atom) = 0.405

a = 5.094 Å, b = 5.094 Å, c = 5.094 Å
α = 136.39°, β = 136.39°, γ = 63.38°
Last column: magnetic moment on the atom in μB.
Sites, in units of the cell vectors:
Ag 0.000 0.000 0.000  0.03
Ag 0.500 0.500 0.000  0.03
Fe 0.250 0.750 0.500  2.93
Os 0.750 0.250 0.500  0.83

No. 5
First-principles (PBE) data for crystalline RbCdH3 at its relaxed geometry, as listed in the Alexandria database.

- crystal system = cubic
- N(E_F) (states/eV/cell) = 0.17
- magnetic moment (μB/cell) = 0.0

a = 4.189 Å, b = 4.189 Å, c = 4.189 Å
α = 90.00°, β = 90.00°, γ = 90.00°
Sites, in units of the cell vectors:
H 0.000 0.500 0.000
H 0.000 0.000 0.500
H 0.500 0.000 0.000
Rb 0.500 0.500 0.500
Cd 0.000 0.000 0.000

No. 6
First-principles (PBE) data for crystalline Dy3Er2ThSe6 at its relaxed geometry, as listed in the Alexandria database.

- crystal system = monoclinic
- formation energy (no corrections) (kcal/mol of atoms) = -38.90
- N(E_F) (states/eV/cell) = 6.42
- magnetic moment (μB/cell) = 0.0

a = 4.056 Å, b = 8.241 Å, c = 9.101 Å
α = 101.64°, β = 102.88°, γ = 90.00°
Sites, in units of the cell vectors:
Dy 0.500 0.500 0.000
Dy 0.841 0.165 0.681
Dy 0.159 0.835 0.319
Er 0.836 0.670 0.673
Er 0.164 0.330 0.327
Th 0.500 0.000 0.000
Se 0.326 0.909 0.653
Se 0.669 0.583 0.338
Se 0.674 0.091 0.347
Se 0.003 0.263 0.006
Se 0.997 0.737 0.994
Se 0.331 0.417 0.662

No. 7
First-principles (PBE) data for crystalline PrDy5Y2Th at its relaxed geometry, as listed in the Alexandria database.

- crystal system = orthorhombic
- N(E_F) (states/eV/cell) = 29.47
- magnetic moment (μB/cell) = 0.0

a = 5.653 Å, b = 10.376 Å, c = 10.491 Å
α = 90.00°, β = 90.00°, γ = 105.81°
Sites, in units of the cell vectors:
Pr 0.587 0.173 0.947
Pr 0.413 0.827 0.447
Dy 0.389 0.778 0.025
Dy 0.723 0.445 0.815
Dy 0.478 0.955 0.737
Dy 0.296 0.593 0.708
Dy 0.983 0.965 0.525
Dy 0.611 0.222 0.525
Dy 0.277 0.555 0.315
Dy 0.522 0.045 0.237
Dy 0.704 0.407 0.208
Dy 0.017 0.035 0.025
Y 0.887 0.774 0.820
Y 0.113 0.226 0.732
Y 0.113 0.226 0.320
Y 0.887 0.774 0.232
Th 0.798 0.596 0.514
Th 0.202 0.404 0.014

No. 8
First-principles (PBE) data for crystalline PuMgF4 at its relaxed geometry, as listed in the Alexandria database.

- crystal system = monoclinic
- formation energy (no corrections) (kcal/mol of atoms) = -75.18
- N(E_F) (states/eV/cell) = 19.51
- magnetic moment (μB/cell) = 12.0

a = 5.197 Å, b = 5.471 Å, c = 6.585 Å
α = 106.30°, β = 113.24°, γ = 90.00°
Last column: magnetic moment on the atom in μB.
Sites, in units of the cell vectors:
Pu 0.202 0.750 0.000  5.78
Pu 0.798 0.250 0.000  5.78
Mg 0.500 0.500 0.500  0.00
Mg 0.000 0.000 0.500  0.00
F 0.219 0.171 0.356  0.00
F 0.137 0.671 0.356  0.00
F 0.684 0.968 0.203  0.00
F 0.519 0.468 0.203  0.00
F 0.316 0.032 0.797  0.00
F 0.481 0.532 0.797  0.00
F 0.781 0.829 0.644  0.00
F 0.863 0.329 0.644  0.00

No. 9
First-principles (PBE) data for crystalline GdHgRhPb at its relaxed geometry, as listed in the Alexandria database.

- crystal system = cubic
- N(E_F) (states/eV/cell) = 2.02
- magnetic moment (μB/cell) = 7.2

a = 5.047 Å, b = 5.047 Å, c = 5.047 Å
α = 60.00°, β = 60.00°, γ = 60.00°
Last column: magnetic moment on the atom in μB.
Sites, in units of the cell vectors:
Pb 0.250 0.250 0.250  0.00
Gd 0.750 0.750 0.750  -7.01
Rh 0.000 0.000 0.000  -0.03
Hg 0.500 0.500 0.500  0.00

No. 10
First-principles (PBE) data for crystalline SiSb2Se at its relaxed geometry, as listed in the Alexandria database.

- crystal system = orthorhombic
- formation energy (no corrections) (kcal/mol of atoms) = 6.69
- N(E_F) (states/eV/cell) = 1.14
- magnetic moment (μB/cell) = 0.0
- distance to the lowest polymorph of the same formula (eV/atom) = 0.209

a = 3.538 Å, b = 3.538 Å, c = 8.971 Å
α = 90.00°, β = 90.00°, γ = 112.72°
Sites, in units of the cell vectors:
Sb 0.000 0.000 0.979
Sb 0.500 0.500 0.223
Se 0.000 0.000 0.569
Si 0.500 0.500 0.730

No. 11
First-principles (PBE) data for crystalline TbCo6B3 at its relaxed geometry, as listed in the Alexandria database.

- crystal system = triclinic
- N(E_F) (states/eV/cell) = 9.96
- magnetic moment (μB/cell) = 2.9

a = 5.050 Å, b = 5.060 Å, c = 5.551 Å
α = 94.94°, β = 111.52°, γ = 120.93°
Last column: magnetic moment on the atom in μB.
Sites, in units of the cell vectors:
Tb 0.930 0.984 0.912  -0.08
Co 0.237 0.340 0.587  0.66
Co 0.131 0.600 0.228  0.46
Co 0.621 0.103 0.228  0.50
Co 0.295 0.880 0.703  0.29
Co 0.814 0.404 0.699  0.31
Co 0.700 0.648 0.310  0.94
B 0.607 0.355 0.962  -0.04
B 0.338 0.628 0.965  -0.04
B 0.328 0.058 0.406  -0.04

No. 12
First-principles (PBE) data for crystalline Li2Zn6Ni at its relaxed geometry, as listed in the Alexandria database.

- crystal system = monoclinic
- N(E_F) (states/eV/cell) = 3.24
- magnetic moment (μB/cell) = 0.0
- distance to the lowest polymorph of the same formula (eV/atom) = 0.013

a = 2.672 Å, b = 7.466 Å, c = 7.466 Å
α = 59.71°, β = 87.41°, γ = 87.41°
Sites, in units of the cell vectors:
Li 0.999 0.334 0.334
Li 0.001 0.666 0.666
Zn 0.447 0.670 0.000
Zn 0.553 0.000 0.330
Zn 0.553 0.330 0.000
Zn 0.500 0.673 0.327
Zn 0.447 0.000 0.670
Zn 0.500 0.327 0.673
Ni 0.000 0.000 0.000

No. 13
First-principles (PBE) data for crystalline K2HfF at its relaxed geometry, as listed in the Alexandria database.

- crystal system = cubic
- formation energy (no corrections) (kcal/mol of atoms) = 9.87
- N(E_F) (states/eV/cell) = 3.53
- magnetic moment (μB/cell) = 3.0
- distance to the lowest polymorph of the same formula (eV/atom) = 0.568

a = 6.021 Å, b = 6.021 Å, c = 6.021 Å
α = 60.00°, β = 60.00°, γ = 60.00°
Last column: magnetic moment on the atom in μB.
Sites, in units of the cell vectors:
K 0.250 0.250 0.250  0.04
K 0.750 0.750 0.750  0.04
Hf 0.500 0.500 0.500  1.60
F 0.000 0.000 0.000  0.01

No. 14
First-principles (PBE) data for crystalline Cs2Na2Ag at its relaxed geometry, as listed in the Alexandria database.

- crystal system = tetragonal
- N(E_F) (states/eV/cell) = 18.94
- magnetic moment (μB/cell) = 0.0
- distance to the lowest polymorph of the same formula (eV/atom) = 0.132

a = 9.930 Å, b = 9.930 Å, c = 6.609 Å
α = 90.00°, β = 90.00°, γ = 90.00°
Sites, in units of the cell vectors:
Cs 0.324 0.824 0.000
Cs 0.824 0.676 0.000
Cs 0.676 0.176 0.000
Cs 0.176 0.324 0.000
Na 0.128 0.628 0.500
Na 0.628 0.872 0.500
Na 0.872 0.372 0.500
Na 0.372 0.128 0.500
Ag 0.000 0.000 0.000
Ag 0.500 0.500 0.000

No. 15
First-principles (PBE) data for crystalline ErNbAlTc at its relaxed geometry, as listed in the Alexandria database.

- crystal system = cubic
- N(E_F) (states/eV/cell) = 2.57
- magnetic moment (μB/cell) = 0.0

a = 4.714 Å, b = 4.714 Å, c = 4.714 Å
α = 60.00°, β = 60.00°, γ = 60.00°
Sites, in units of the cell vectors:
Nb 0.000 0.000 0.000
Al 0.250 0.250 0.250
Tc 0.750 0.750 0.750
Er 0.500 0.500 0.500

No. 16
First-principles (PBE) data for crystalline In4Bi3Pb2 at its relaxed geometry, as listed in the Alexandria database.

- crystal system = triclinic
- N(E_F) (states/eV/cell) = 1.61
- magnetic moment (μB/cell) = 0.0

a = 5.774 Å, b = 5.773 Å, c = 9.604 Å
α = 89.94°, β = 89.98°, γ = 59.95°
Sites, in units of the cell vectors:
In 0.334 0.333 0.957
In 0.996 0.012 0.336
In 0.004 0.988 0.664
In 0.666 0.667 0.043
Bi 0.663 0.677 0.364
Bi 0.000 0.000 0.000
Bi 0.337 0.323 0.636
Pb 0.670 0.655 0.711
Pb 0.330 0.345 0.289

No. 17
First-principles (PBE) data for crystalline NaAgHg2F6 at its relaxed geometry, as listed in the Alexandria database.

- crystal system = orthorhombic
- formation energy (no corrections) (kcal/mol of atoms) = -36.12
- N(E_F) (states/eV/cell) = 8.54
- magnetic moment (μB/cell) = 0.2

a = 6.044 Å, b = 7.272 Å, c = 7.272 Å
α = 76.72°, β = 89.99°, γ = 89.99°
Last column: magnetic moment on the atom in μB.
Sites, in units of the cell vectors:
Na 0.250 0.962 0.038  0.00
Na 0.750 0.038 0.962  0.00
Ag 0.250 0.344 0.656  0.08
Ag 0.750 0.656 0.344  0.08
Hg 0.250 0.874 0.555  0.00
Hg 0.250 0.445 0.126  0.00
Hg 0.750 0.126 0.445  0.00
Hg 0.750 0.555 0.874  0.00
F 0.999 0.037 0.707  0.00
F 0.501 0.293 0.963  0.00
F 0.001 0.963 0.293  0.00
F 0.499 0.707 0.037  0.00
F 0.499 0.963 0.293  0.00
F 0.001 0.707 0.037  0.00
F 0.501 0.037 0.707  0.00
F 0.999 0.293 0.963  0.00
F 0.000 0.628 0.628  0.01
F 0.500 0.372 0.372  0.01
F 0.000 0.372 0.372  0.01
F 0.500 0.628 0.628  0.01

No. 18
First-principles (PBE) data for crystalline AlReCS2 at its relaxed geometry, as listed in the Alexandria database.

- crystal system = tetragonal
- formation energy (no corrections) (kcal/mol of atoms) = 28.86
- N(E_F) (states/eV/cell) = 3.57
- magnetic moment (μB/cell) = 0.0

a = 4.273 Å, b = 3.650 Å, c = 4.273 Å
α = 90.00°, β = 90.00°, γ = 90.00°
Sites, in units of the cell vectors:
C 0.000 0.000 0.000
Re 0.500 0.500 0.500
S 0.000 0.000 0.500
S 0.500 0.000 0.000
Al 0.000 0.500 0.000

No. 19
First-principles (PBE) data for crystalline CsS at its relaxed geometry, as listed in the Alexandria database.

- crystal system = tetragonal
- formation energy (no corrections) (kcal/mol of atoms) = -16.36
- N(E_F) (states/eV/cell) = 3.79
- magnetic moment (μB/cell) = 0.7

a = 12.547 Å, b = 12.547 Å, c = 4.577 Å
α = 90.00°, β = 90.00°, γ = 90.00°
Sites, in units of the cell vectors:
Cs 0.760 0.500 0.000
Cs 0.240 0.500 0.000
Cs 0.500 0.240 0.000
Cs 0.500 0.760 0.000
Cs 0.260 0.000 0.500
Cs 0.740 0.000 0.500
Cs 0.000 0.740 0.500
Cs 0.000 0.260 0.500
S 0.228 0.228 0.000
S 0.228 0.772 0.000
S 0.772 0.228 0.000
S 0.772 0.772 0.000
S 0.728 0.728 0.500
S 0.728 0.272 0.500
S 0.272 0.728 0.500
S 0.272 0.272 0.500

No. 20
First-principles (PBE) data for crystalline CdWCl6 at its relaxed geometry, as listed in the Alexandria database.

- crystal system = trigonal
- formation energy (no corrections) (kcal/mol of atoms) = -18.94
- N(E_F) (states/eV/cell) = 5.63
- magnetic moment (μB/cell) = 2.0

a = 6.349 Å, b = 6.349 Å, c = 6.821 Å
α = 62.26°, β = 62.27°, γ = 60.00°
Last column: magnetic moment on the atom in μB.
Sites, in units of the cell vectors:
Cd 0.500 0.500 0.500  0.05
W 0.000 0.000 0.000  1.46
Cl 0.071 0.392 0.762  0.01
Cl 0.775 0.071 0.762  0.01
Cl 0.608 0.225 0.238  0.01
Cl 0.225 0.929 0.238  0.01
Cl 0.929 0.608 0.238  0.01
Cl 0.392 0.775 0.762  0.01

No. 21
First-principles (PBE) data for crystalline Dy4TlHgO at its relaxed geometry, as listed in the Alexandria database.

- crystal system = orthorhombic
- formation energy (no corrections) (kcal/mol of atoms) = -24.55
- N(E_F) (states/eV/cell) = 8.10
- magnetic moment (μB/cell) = 0.0

a = 6.579 Å, b = 6.586 Å, c = 8.647 Å
α = 90.00°, β = 112.36°, γ = 90.00°
Sites, in units of the cell vectors:
Dy 0.920 0.250 0.840
Dy 0.429 0.750 0.858
Dy 0.080 0.750 0.160
Dy 0.571 0.250 0.142
Dy 0.500 0.500 0.500
Dy 0.000 0.000 0.500
Dy 0.500 0.000 0.500
Dy 0.000 0.500 0.500
Tl 0.112 0.250 0.223
Tl 0.888 0.750 0.777
Hg 0.617 0.750 0.233
Hg 0.383 0.250 0.767
O 0.245 0.750 0.490
O 0.755 0.250 0.510

No. 22
First-principles (PBE) data for crystalline Hf6MnTl3 at its relaxed geometry, as listed in the Alexandria database.

- crystal system = monoclinic
- N(E_F) (states/eV/cell) = 8.19
- magnetic moment (μB/cell) = 0.0

a = 7.372 Å, b = 6.349 Å, c = 6.349 Å
α = 60.11°, β = 73.36°, γ = 73.36°
Sites, in units of the cell vectors:
Hf 0.376 0.134 0.652
Hf 0.624 0.348 0.866
Hf 0.624 0.866 0.348
Hf 0.376 0.652 0.134
Hf 0.206 0.690 0.690
Hf 0.794 0.310 0.310
Mn 0.500 0.500 0.500
Tl 0.232 0.200 0.200
Tl 0.768 0.800 0.800
Tl 0.000 0.000 0.000

No. 23
First-principles (PBE) data for crystalline InFeP at its relaxed geometry, as listed in the Alexandria database.

- crystal system = cubic
- N(E_F) (states/eV/cell) = 2.22
- magnetic moment (μB/cell) = 1.5

a = 4.151 Å, b = 4.151 Å, c = 4.151 Å
α = 60.00°, β = 60.00°, γ = 60.00°
Last column: magnetic moment on the atom in μB.
Sites, in units of the cell vectors:
Fe 0.250 0.250 0.250  1.52
In 0.000 0.000 0.000  -0.01
P 0.500 0.500 0.500  0.01

No. 24
First-principles (PBE) data for crystalline EuThTe2 at its relaxed geometry, as listed in the Alexandria database.

- crystal system = cubic
- formation energy (no corrections) (kcal/mol of atoms) = -27.18
- N(E_F) (states/eV/cell) = 2.73
- magnetic moment (μB/cell) = 8.1
- distance to the lowest polymorph of the same formula (eV/atom) = 0.132

a = 5.492 Å, b = 5.492 Å, c = 5.492 Å
α = 60.00°, β = 60.00°, γ = 60.00°
Last column: magnetic moment on the atom in μB.
Sites, in units of the cell vectors:
Eu 0.000 0.000 0.000  6.95
Te 0.250 0.250 0.250  -0.04
Te 0.750 0.750 0.750  -0.04
Th 0.500 0.500 0.500  0.42

| no. | DFT total energy (eV per atom) |
| --- | --- |
| 1 | -3.7587 |
| 2 | -5.7984 |
| 3 | -3.2298 |
| 4 | -5.6295 |
| 5 | -2.4082 |
| 6 | -5.9584 |
| 7 | -5.1827 |
| 8 | -7.1620 |
| 9 | -6.6714 |
| 10 | -3.9981 |
| 11 | -6.9888 |
| 12 | -2.0325 |
| 13 | -3.0771 |
| 14 | -1.2045 |
| 15 | -7.3291 |
| 16 | -3.3194 |
| 17 | -3.1665 |
| 18 | -5.4826 |
| 19 | -3.1998 |
| 20 | -3.9397 |
| 21 | -4.7837 |
| 22 | -7.2891 |
| 23 | -5.2927 |
| 24 | -7.1731 |